Crystalline Y2RePb at its relaxed geometry, computed with PBE.

POSCAR file:
```
Y2RePb
1.0
4.5301 -1.7119 0.0000
4.5301 1.7119 0.0000
-1.2078 0.0000 6.6023
Y Re Pb
2 1 1
Cartesian
1.8998 0.0000 1.4523
5.9527 0.0000 5.1500
4.5301 0.0000 0.0000
-0.6039 0.0000 3.3012
```

Calculated values
Magnetization ... 0.00 μB/cell
Uncorrected energy ... -28.01 eV/cell
Space group ... C2/m (12)

***

Crystalline UPtAu2 at its relaxed geometry, computed with PBE.

POSCAR file:
```
UPtAu2
1.0
0.0000 3.4165 3.4165
3.4165 0.0000 3.4165
3.4165 3.4165 0.0000
U Pt Au
1 1 2
Cartesian
0.0000 0.0000 0.0000
3.4165 3.4165 3.4165
1.7082 1.7082 1.7082
5.1247 5.1247 5.1247
```

Calculated values
Magnetization ... 2.16 μB/cell
Uncorrected energy ... -24.72 eV/cell
Space group ... Fm-3m (225)

***

Crystalline CuAsRh2 at its relaxed geometry, computed with PBE.

POSCAR file:
```
CuAsRh2
1.0
-1.4634 2.1178 4.5995
1.4634 -2.1178 4.5995
1.4634 2.1178 -4.5995
Cu As Rh
1 1 2
Cartesian
0.0000 0.0000 0.0000
1.4634 0.0000 2.1533
0.0000 0.0000 4.1087
0.0000 2.1178 2.0536
```

Calculated values
Magnetization ... 0.00 μB/cell
Uncorrected energy ... -23.74 eV/cell
Space group ... Imm2 (44)

***

Crystalline TbN2Cl3 at its relaxed geometry, computed with PBE.

POSCAR file:
```
TbN2Cl3
1.0
2.6677 -9.3916 0.0000
2.6677 9.3916 0.0000
0.0000 0.0000 4.0057
Tb N Cl
1 2 3
Cartesian
0.0000 0.0000 0.0000
2.6677 3.4287 0.0000
2.6677 -3.4287 0.0000
2.6677 7.6203 2.0028
2.6677 0.0000 0.0000
2.6677 -7.6203 2.0028
```

Calculated values
Magnetization ... 5.98 μB/cell
Uncorrected energy ... -25.47 eV/cell
Space group ... Cmmm (65)
Formation energy without anion corrections ... 0.23 eV/atom

***

Crystalline MoIr2Cl at its relaxed geometry, computed with PBE.

POSCAR file:
```
MoIr2Cl
1.0
0.0000 3.1620 3.1620
3.1620 0.0000 3.1620
3.1620 3.1620 0.0000
Mo Ir Cl
1 2 1
Cartesian
0.0000 0.0000 0.0000
1.5810 1.5810 1.5810
4.7430 4.7430 4.7430
3.1620 3.1620 3.1620
```

Calculated values
Magnetization ... 0.00 μB/cell
Uncorrected energy ... -26.65 eV/cell
Space group ... Fm-3m (225)
Formation energy without anion corrections ... 0.94 eV/atom
Energy above the most stable polymorph in this dataset ... 283 kJ/mol of formula units

***

Crystalline Tm2ThF11 at its relaxed geometry, computed with PBE.

POSCAR file:
```
Tm2ThF11
1.0
-4.1180 5.1167 5.6555
4.1180 -5.1167 5.6555
4.1180 5.1167 -5.6555
Tm Th F
4 2 22
Cartesian
1.2838 1.9391 0.0000
5.4018 3.1776 0.0000
-1.2838 1.9391 5.6555
2.8343 3.1776 5.6555
4.1180 0.0000 2.8277
0.0000 5.1167 2.8277
0.0000 0.0000 0.0000
4.9628 1.7794 -1.5761
5.8708 -0.8113 1.4862
4.9628 -1.7794 4.0793
3.1975 -3.1206 5.6555
2.3653 0.8113 1.4862
2.3653 -0.8113 4.1693
3.1975 3.1206 0.0000
4.9628 1.7794 1.5761
1.7527 5.9280 -1.4862
0.8447 3.3373 1.5761
0.0000 0.0000 5.6555
3.2733 1.7794 4.0793
2.3653 -0.8113 7.1417
-0.8447 3.3373 4.0793
0.9206 1.9962 5.6555
1.7527 5.9280 1.4862
1.7527 4.3054 4.1693
0.9206 8.2373 0.0000
-0.8447 6.8962 1.5761
-1.7527 5.9280 4.1693
-0.8447 3.3373 7.2316
```

Calculated values
Magnetization ... 2.24 μB/cell
Uncorrected energy ... -181.27 eV/cell
Space group ... Ibam (72)
Formation energy without anion corrections ... -3.83 eV/atom